# 1
This record from Alexandria via LeMat-Bulk describes an optimized crystal structure of Pr2SnS. The functional is PBE-GGA.

The structure belongs to space group Cmcm (No. 63); the cell edges are 4.353, 23.554 and 4.344 Å and the angles 90.00°, 90.00° and 90.00°. The inequivalent atoms are Pr at (0.000, 0.072, 0.250), Pr at (0.000, 0.311, 0.250), Sn at (0.000, 0.455, 0.250) and S at (0.000, 0.191, 0.250).

The value obtained for the total energy is -5.78 eV/atom. For the uncorrected formation energy, the calculation gives -1.357 eV/atom.

# 2
This record from Alexandria via LeMat-Bulk describes an optimized crystal structure of CsLiAlAu2. The functional is PBE-GGA.

The structure belongs to space group P4/mmm (No. 123); the cell edges are 5.058, 5.058 and 6.288 Å and the angles 90.00°, 90.00° and 90.00°. The inequivalent atoms are Cs at (0.000, 0.000, 0.000), Li at (0.500, 0.500, 0.000), Al at (0.000, 0.000, 0.500) and Au at (0.000, 0.500, 0.500).

The value obtained for the total energy is -2.41 eV/atom. For the formation energy, the calculation gives 203 meV/atom.

# 3
This record from Alexandria via LeMat-Bulk describes an optimized crystal structure of TbNdPu2As4. The functional is PBE-GGA.

The structure belongs to space group P2/m (No. 10); the cell edges are 7.198, 4.177 and 7.231 Å and the angles 90.00°, 109.56° and 90.00°. The inequivalent atoms are Tb at (0.000, 0.000, 0.000), Nd at (0.000, 0.500, 0.500), Pu at (0.500, 0.000, 0.500), Pu at (0.500, 0.500, 0.000), As at (0.257, 0.500, 0.248) and As at (0.260, 0.000, 0.757).

The value obtained for the total energy is -8.35 eV/atom. For the formation energy, the calculation gives -1268 meV/atom.